<i>
Entry from the Alexandria database: PuScZn after structural relaxation (PBE).

The density comes out at 8.80 g/cm3. As for the volume: 66.88 Å³ per cell.

Geometry as CIF:
```
data_PuScZn
_chemical_formula_sum 'Pu1 Sc1 Zn1'
_space_group_name_H-M_alt 'P 1'
_space_group_IT_number 1
_cell_length_a 3.291
_cell_length_b 3.291
_cell_length_c 6.598
_cell_angle_alpha 104.44
_cell_angle_beta 104.44
_cell_angle_gamma 90.00
loop_
_space_group_symop_operation_xyz
'x,y,z'
loop_
_atom_site_label
_atom_site_fract_x
_atom_site_fract_y
_atom_site_fract_z
Sc1 0.646 0.646 0.293
Zn1 0.011 0.011 0.021
Pu1 0.343 0.343 0.686
```

=====

<ii>
Entry from the Alexandria database: PuScZn after structural relaxation (PBE).

The density comes out at 9.18 g/cm3. As for the volume: 128.16 Å³ per cell.

Geometry as CIF:
```
data_PuScZn
_chemical_formula_sum 'Pu2 Sc2 Zn2'
_space_group_name_H-M_alt 'P 1'
_space_group_IT_number 1
_cell_length_a 3.506
_cell_length_b 4.748
_cell_length_c 7.897
_cell_angle_alpha 90.00
_cell_angle_beta 102.82
_cell_angle_gamma 90.00
loop_
_space_group_symop_operation_xyz
'x,y,z'
loop_
_atom_site_label
_atom_site_fract_x
_atom_site_fract_y
_atom_site_fract_z
Zn1 0.427 0.250 0.855
Zn2 0.573 0.750 0.145
Sc1 0.922 0.750 0.844
Sc2 0.078 0.250 0.156
Pu1 0.764 0.250 0.528
Pu2 0.236 0.750 0.472
```

=====

Stability check: which of them is least stable? <i>.